(1)
The following is a GGA-PBE calculation of crystalline YTaTi2 at its relaxed geometry, from Alexandria via LeMat-Bulk.

Structure (POSCAR):
```
YTaTi2
1.0
-3.7737 3.7737 2.9800
3.7737 -3.7737 2.9800
3.7737 3.7737 -2.9800
Y Ta Ti
2 2 4
direct
0.0000 0.0000 0.0000
0.7500 0.2500 0.5000
0.2500 0.7500 0.5000
0.5000 0.5000 0.0000
0.1498 0.6250 0.0248
0.3750 0.3998 0.5248
0.6002 0.1250 0.9752
0.8750 0.8502 0.4752
```

## Properties
- M_tot: 0.00 μB per formula unit
- Total energy: -7.83 eV/atom
- Calculated volume: 21.22 Å³ per atom
- Offset from the most stable computed form: 568 meV per atom
- Crystal system: tetragonal

***

(2)
The following is a GGA-PBE calculation of crystalline YTaTi3 at its relaxed geometry, from Alexandria via LeMat-Bulk.

Structure (POSCAR):
```
YTaTi3
1.0
4.8949 0.0000 0.0000
0.0000 4.8949 0.0000
0.0000 0.0000 4.8949
Y Ta Ti
1 1 3
direct
0.0000 0.0000 0.0000
0.5000 0.5000 0.5000
0.0000 0.5000 0.5000
0.5000 0.0000 0.5000
0.5000 0.5000 0.0000
```

## Properties
- M_tot: 0.97 μB per formula unit
- Total energy: -7.72 eV/atom
- Calculated volume: 23.46 Å³ per atom
- Offset from the most stable computed form: 0 meV per atom
- Crystal system: cubic

***

no.,energy relative to the elements (eV/atom)
1,0.70
2,0.68